[1]
The following is a PBE calculation of crystalline CsH8PdPt2 at its relaxed geometry, from Alexandria.

Geometry as POSCAR:
```
CsH8PdPt2
1.0
4.935 0.000 0.000
2.467 4.274 0.000
2.467 1.425 7.032
H Cs Pt Pd
8 1 2 1
Direct
0.775 0.775 0.676
0.063 0.371 0.878
0.629 0.313 0.122
0.371 0.687 0.878
0.313 0.937 0.122
0.687 0.063 0.878
0.937 0.629 0.122
0.225 0.225 0.324
0.500 0.500 0.500
0.303 0.303 0.092
0.697 0.697 0.908
0.000 0.000 0.000
```

As for the calculated total energy: -3.8144 eV/atom. For the total magnetization, the calculation gives 0.0 μB per cell.

---

[2]
The following is a PBE calculation of crystalline AcPm2MgAu4 at its relaxed geometry, from Alexandria.

Geometry as POSCAR:
```
AcPm2MgAu4
1.0
5.139 0.000 0.000
2.570 4.451 0.000
2.570 1.484 8.864
Ac Au Pm Mg
1 4 2 1
Direct
0.000 0.000 0.000
0.607 0.607 0.180
0.878 0.878 0.365
0.122 0.122 0.635
0.393 0.393 0.820
0.236 0.236 0.291
0.764 0.764 0.709
0.500 0.500 0.500
```

For the formation energy, the calculation gives -0.75 eV/atom. As for the calculated total energy: -4.2856 eV/atom. For the total magnetization, the calculation gives 0.0 μB per cell.

---

[3]
The following is a PBE calculation of crystalline TaMn2Os at its relaxed geometry, from Alexandria.

Geometry as POSCAR:
```
TaMn2Os
1.0
4.213 0.029 0.000
-0.029 4.213 0.000
0.000 0.000 3.148
Mn Os Ta
2 1 1
Direct
0.500 0.500 0.000
0.000 0.000 0.000
0.500 0.000 0.500
0.000 0.500 0.500
```

For the formation energy, the calculation gives -0.01 eV/atom. As for the calculated total energy: -10.3639 eV/atom. For the total magnetization, the calculation gives 3.9 μB per cell.